[1]
A relaxed SrSnSbPd2 crystal. Source: OQMD via LeMat-Bulk, functional PBE-GGA.

Cell lengths 4.6804, 4.6434, 10.8376 Å; angles 90.00, 91.42, 90.00 degrees
Closest atoms and distances in Å follow each position.
Fractional positions:
Pd 0.7869 0.7500 0.0006  4 Sb 2.69-2.72
Pd 0.7417 0.2500 0.3687  1 Sb 2.65, 4 Sn 2.73-2.74
Pd 0.2583 0.7500 0.6313  1 Sb 2.65, 4 Sn 2.73-2.74
Pd 0.2131 0.2500 0.9994  4 Sb 2.69-2.72
Sb 0.7244 0.2500 0.1246  5 Pd 2.65-2.72
Sb 0.2756 0.7500 0.8754  5 Pd 2.65-2.72
Sn 0.2488 0.2500 0.4993  4 Pd 2.73-2.74
Sn 0.7512 0.7500 0.5007  4 Pd 2.73-2.74
Sr 0.2418 0.7500 0.2412  8 Pd 3.33-3.69, 4 Sb 3.50-3.56, 4 Sn 3.63-3.67
Sr 0.7582 0.2500 0.7588  8 Pd 3.33-3.69, 4 Sb 3.50-3.56, 4 Sn 3.63-3.67

## Properties
V   23.55 A^3/atom
Space-group type   No. 11
Uncorrected energy   -48.1 eV/cell
Energy above the lowest structure with this stoichiometry   0.0006 eV per atom


[2]
A relaxed SrSnSbPd2 crystal. Source: OQMD via LeMat-Bulk, functional PBE-GGA.

Cell lengths 4.7536, 4.7536, 10.5556 Å; angles 90.00, 90.00, 90.00 degrees
Closest atoms and distances in Å follow each position.
Fractional positions:
Pd 0.0000 0.0000 0.0000  4 Sn 2.68
Pd 0.5000 0.5000 0.0000  4 Sn 2.68
Pd 0.5000 0.0000 0.3715  1 Sn 2.67, 4 Sb 2.74
Pd 0.0000 0.5000 0.6285  1 Sn 2.67, 4 Sb 2.74
Sb 0.0000 0.0000 0.5000  4 Pd 2.74
Sb 0.5000 0.5000 0.5000  4 Pd 2.74
Sn 0.5000 0.0000 0.1183  5 Pd 2.67-2.68
Sn 0.0000 0.5000 0.8817  5 Pd 2.67-2.68
Sr 0.0000 0.5000 0.2453  8 Pd 3.51-3.62, 4 Sb 3.59, 5 Sn 3.62-3.84
Sr 0.5000 0.0000 0.7547  8 Pd 3.51-3.62, 4 Sb 3.59, 5 Sn 3.62-3.84

## Properties
V   23.85 A^3/atom
Space-group type   No. 129
Uncorrected energy   -47.7 eV/cell
Energy above the lowest structure with this stoichiometry   0.0421 eV per atom


What is the formula in the first record? SrSnSbPd2